Entry 1:
Material: Ta2BeVTe
Method: DFT, PBE-GGA
State: optimized geometry

The structure in POSCAR format:
```
Ta2BeVTe
1.0
4.559 0.000 0.000
0.000 4.559 0.000
0.000 0.000 4.047
Be V Te Ta
1 1 1 2
direct
0.000 0.000 0.000
0.000 0.000 0.500
0.500 0.500 0.500
0.000 0.500 0.000
0.500 0.000 0.000
```

The space group is P4/mmm. The calculation puts the density of states at the Fermi level at 1.0123 states/eV per atom. For the total magnetization, the calculation gives 0.00 μB per cell. The value obtained for the formation energy without anion corrections is 607 meV per atom.

---

Entry 2:
Material: Ba2CdCoRu
Method: DFT, PBE-GGA
State: optimized geometry

The structure in POSCAR format:
```
Ba2CdCoRu
1.0
5.781 0.000 0.000
0.000 5.232 0.000
0.000 0.000 5.781
Ru Co Ba Cd
1 1 2 1
direct
0.000 0.000 0.000
0.500 0.500 0.500
0.000 0.000 0.500
0.500 0.000 0.000
0.000 0.500 0.000
```

For the energy of formation from the pure elements, the calculation gives 0.69 eV/atom. The space group is P4/mmm. The calculation puts the density of states at the Fermi level at 1.0531 states/eV per atom. For the total magnetization, the calculation gives 1.85 μB per cell.

---

Entry 3:
Material: BaNd2Se4
Method: DFT, PBE-GGA
State: optimized geometry

The structure in POSCAR format:
```
BaNd2Se4
1.0
4.324 0.000 0.000
-2.162 7.080 0.000
0.000 0.000 14.572
Ba Nd Se
2 4 8
direct
0.611 0.222 0.750
0.389 0.778 0.250
0.134 0.269 0.432
0.866 0.731 0.932
0.134 0.269 0.068
0.866 0.731 0.568
0.768 0.536 0.115
0.768 0.536 0.385
0.232 0.464 0.885
0.232 0.464 0.615
0.944 0.887 0.750
0.056 0.113 0.250
0.500 0.000 0.000
0.500 0.000 0.500
```

The space group is Cmcm. The polymorph energy (0 for the lowest one) is 0.44 kcal/mol of atoms. For the total magnetization, the calculation gives 0.00 μB per cell. The value obtained for the formation energy without anion corrections is -1946 meV per atom.

---

Entry 4:
Material: Al2Co2Pb
Method: DFT, PBE-GGA
State: optimized geometry

The structure in POSCAR format:
```
Al2Co2Pb
1.0
7.107 0.000 0.000
0.000 7.107 0.000
0.000 0.000 2.969
Pb Co Al
2 4 4
direct
0.000 0.000 0.000
0.500 0.500 0.000
0.351 0.851 0.000
0.851 0.649 0.000
0.649 0.149 0.000
0.149 0.351 0.000
0.138 0.638 0.500
0.638 0.862 0.500
0.862 0.362 0.500
0.362 0.138 0.500
```

For the energy of formation from the pure elements, the calculation gives -0.02 eV/atom. The space group is P4/mbm. The calculation puts the density of states at the Fermi level at 0.9155 states/eV per atom. The polymorph energy (0 for the lowest one) is 0.00 kcal/mol of atoms. For the total magnetization, the calculation gives 0.00 μB per cell.

---

| no. | V (Å³ per atom) |
| --- | --- |
| 1 | 16.8 |
| 2 | 35.0 |
| 3 | 31.9 |
| 4 | 15.0 |